1.
Computed, not measured: a relaxed structure of TbMnB14 at the GGA-PBE level of DFT.

Cell and atoms, written as CIF:
```
data_TbMnB14
_space_group_name_H-M_alt 'P 1'
_space_group_IT_number 1
_cell_length_a 7.3678
_cell_length_b 7.3678
_cell_length_c 7.3678
_cell_angle_alpha 133.19
_cell_angle_beta 86.71
_cell_angle_gamma 111.90
loop_
_space_group_symop_operation_xyz
'x,y,z'
loop_
_atom_site_label
_atom_site_fract_x
_atom_site_fract_y
_atom_site_fract_z
Tb1 0.3778 0.1278 0.2500
Tb2 0.6222 0.8722 0.7500
Mn1 0.0000 0.0000 0.5000
Mn2 0.0000 0.5000 0.0000
B1 0.0009 0.1304 0.8705
B2 0.0306 0.2045 0.3296
B3 0.0306 0.7010 0.8261
B4 0.0858 0.6700 0.4158
B5 0.1983 0.5316 0.6667
B6 0.2228 0.5012 0.4016
B7 0.2228 0.8212 0.7216
B8 0.2401 0.8696 0.3705
B9 0.2458 0.3300 0.9158
B10 0.3649 0.5316 0.8333
B11 0.3749 0.2045 0.6739
B12 0.3749 0.7010 0.1704
B13 0.4004 0.1788 0.9016
B14 0.4004 0.4988 0.2216
B15 0.5996 0.5012 0.7784
B16 0.5996 0.8212 0.0984
B17 0.6251 0.2990 0.8296
B18 0.6251 0.7955 0.3261
B19 0.6351 0.4684 0.1667
B20 0.7542 0.6700 0.0842
B21 0.7599 0.1304 0.6295
B22 0.7772 0.1788 0.2784
B23 0.7772 0.4988 0.5984
B24 0.8017 0.4684 0.3333
B25 0.9142 0.3300 0.5842
B26 0.9694 0.2990 0.1739
B27 0.9694 0.7955 0.6704
B28 0.9991 0.8696 0.1295
```

Calculated values
spin magnetization	7.4	Bohr magnetons per cell
space-group type	No. 74

=====

2.
Computed, not measured: a relaxed structure of TbMnB2 at the GGA-PBE level of DFT.

Cell and atoms, written as CIF:
```
data_TbMnB2
_space_group_name_H-M_alt 'P 1'
_space_group_IT_number 1
_cell_length_a 5.1174
_cell_length_b 5.1174
_cell_length_c 5.1174
_cell_angle_alpha 40.03
_cell_angle_beta 40.03
_cell_angle_gamma 40.03
loop_
_space_group_symop_operation_xyz
'x,y,z'
loop_
_atom_site_label
_atom_site_fract_x
_atom_site_fract_y
_atom_site_fract_z
Tb1 0.0000 0.0000 0.0000
Mn1 0.5000 0.5000 0.5000
B1 0.1971 0.1971 0.1971
B2 0.8029 0.8029 0.8029
```

Calculated values
spin magnetization	0.0	Bohr magnetons per cell
space-group type	No. 166

=====

3.
Computed, not measured: a relaxed structure of Tb2MnB10 at the GGA-PBE level of DFT.

Cell and atoms, written as CIF:
```
data_Tb2MnB10
_space_group_name_H-M_alt 'P 1'
_space_group_IT_number 1
_cell_length_a 5.6184
_cell_length_b 11.1959
_cell_length_c 4.1479
_cell_angle_alpha 90.00
_cell_angle_beta 90.00
_cell_angle_gamma 90.00
loop_
_space_group_symop_operation_xyz
'x,y,z'
loop_
_atom_site_label
_atom_site_fract_x
_atom_site_fract_y
_atom_site_fract_z
Tb1 0.2098 0.1335 0.0000
Tb2 0.2902 0.6335 0.0000
Tb3 0.7098 0.3665 0.0000
Tb4 0.7902 0.8665 0.0000
Mn1 0.0000 0.5000 0.5000
Mn2 0.5000 0.0000 0.5000
B1 0.0380 0.3127 0.5000
B2 0.1275 0.9610 0.5000
B3 0.1495 0.8023 0.5000
B4 0.2083 0.3856 0.2013
B5 0.2083 0.3856 0.7987
B6 0.2917 0.8856 0.2013
B7 0.2917 0.8856 0.7987
B8 0.3505 0.3023 0.5000
B9 0.3725 0.4610 0.5000
B10 0.4620 0.8127 0.5000
B11 0.5380 0.1873 0.5000
B12 0.6275 0.5390 0.5000
B13 0.6495 0.6977 0.5000
B14 0.7083 0.1144 0.2013
B15 0.7083 0.1144 0.7987
B16 0.7917 0.6144 0.2013
B17 0.7917 0.6144 0.7987
B18 0.8505 0.1977 0.5000
B19 0.8725 0.0390 0.5000
B20 0.9620 0.6873 0.5000
```

Calculated values
spin magnetization	2.1	Bohr magnetons per cell
space-group type	No. 55

=====

4.
Computed, not measured: a relaxed structure of Tb3Mn3B8 at the GGA-PBE level of DFT.

Cell and atoms, written as CIF:
```
data_Tb3Mn3B8
_space_group_name_H-M_alt 'P 1'
_space_group_IT_number 1
_cell_length_a 7.8041
_cell_length_b 7.8041
_cell_length_c 7.8041
_cell_angle_alpha 156.55
_cell_angle_beta 119.38
_cell_angle_gamma 65.92
loop_
_space_group_symop_operation_xyz
'x,y,z'
loop_
_atom_site_label
_atom_site_fract_x
_atom_site_fract_y
_atom_site_fract_z
Tb1 0.0000 0.0000 0.0000
Tb2 0.2748 0.2748 0.0000
Tb3 0.7252 0.7252 0.0000
Mn1 0.3008 0.5000 0.8008
Mn2 0.5000 0.0000 0.5000
Mn3 0.6992 0.5000 0.1992
B1 0.0512 0.3659 0.6853
B2 0.1502 0.8791 0.2711
B3 0.3194 0.6341 0.6853
B4 0.3921 0.1209 0.2711
B5 0.6079 0.8791 0.7289
B6 0.6806 0.3659 0.3147
B7 0.8498 0.1209 0.7289
B8 0.9488 0.6341 0.3147
```

Calculated values
spin magnetization	0.0	Bohr magnetons per cell
space-group type	No. 71

=====

5.
Computed, not measured: a relaxed structure of Tb2Mn17B2 at the GGA-PBE level of DFT.

Cell and atoms, written as CIF:
```
data_Tb2Mn17B2
_space_group_name_H-M_alt 'P 1'
_space_group_IT_number 1
_cell_length_a 6.4584
_cell_length_b 6.4584
_cell_length_c 6.4518
_cell_angle_alpha 96.20
_cell_angle_beta 96.20
_cell_angle_gamma 83.56
loop_
_space_group_symop_operation_xyz
'x,y,z'
loop_
_atom_site_label
_atom_site_fract_x
_atom_site_fract_y
_atom_site_fract_z
Tb1 0.1424 0.1424 0.3445
Tb2 0.8576 0.8576 0.6555
Mn1 0.0000 0.5000 0.0000
Mn2 0.1522 0.1522 0.8671
Mn3 0.1673 0.6405 0.3351
Mn4 0.2242 0.4942 0.7278
Mn5 0.2250 0.7750 0.0000
Mn6 0.3595 0.8327 0.6649
Mn7 0.3948 0.3948 0.1011
Mn8 0.4942 0.2242 0.7278
Mn9 0.5000 0.0000 0.0000
Mn10 0.5000 0.5000 0.5000
Mn11 0.5058 0.7758 0.2722
Mn12 0.6052 0.6052 0.8989
Mn13 0.6405 0.1673 0.3351
Mn14 0.7750 0.2250 0.0000
Mn15 0.7758 0.5058 0.2722
Mn16 0.8327 0.3595 0.6649
Mn17 0.8478 0.8478 0.1329
B1 0.0000 0.5000 0.5000
B2 0.5000 0.0000 0.5000
```

Calculated values
spin magnetization	2.1	Bohr magnetons per cell
space-group type	No. 12

=====

6.
Computed, not measured: a relaxed structure of Mn3TcB at the GGA-PBE level of DFT.

Cell and atoms, written as CIF:
```
data_Mn3TcB
_space_group_name_H-M_alt 'P 1'
_space_group_IT_number 1
_cell_length_a 4.5468
_cell_length_b 4.5468
_cell_length_c 4.5468
_cell_angle_alpha 90.00
_cell_angle_beta 90.00
_cell_angle_gamma 90.00
loop_
_space_group_symop_operation_xyz
'x,y,z'
loop_
_atom_site_label
_atom_site_fract_x
_atom_site_fract_y
_atom_site_fract_z
Mn1 0.0000 0.0000 0.5000
Mn2 0.0000 0.5000 0.0000
Mn3 0.5000 0.0000 0.0000
Tc1 0.0000 0.0000 0.0000
B1 0.5000 0.5000 0.5000
```

Calculated values
spin magnetization	8.7	Bohr magnetons per cell
space-group type	No. 221

=====

7.
Computed, not measured: a relaxed structure of MnTc2B2 at the GGA-PBE level of DFT.

Cell and atoms, written as CIF:
```
data_MnTc2B2
_space_group_name_H-M_alt 'P 1'
_space_group_IT_number 1
_cell_length_a 4.5526
_cell_length_b 4.5526
_cell_length_c 4.5526
_cell_angle_alpha 141.20
_cell_angle_beta 118.96
_cell_angle_gamma 74.72
loop_
_space_group_symop_operation_xyz
'x,y,z'
loop_
_atom_site_label
_atom_site_fract_x
_atom_site_fract_y
_atom_site_fract_z
Mn1 0.0000 0.0000 0.0000
Tc1 0.2991 0.7991 0.5000
Tc2 0.7009 0.2009 0.5000
B1 0.3038 0.5000 0.8038
B2 0.6962 0.5000 0.1962
```

Calculated values
spin magnetization	0.9	Bohr magnetons per cell
space-group type	No. 71

=====

8.
Computed, not measured: a relaxed structure of MnTc3B at the GGA-PBE level of DFT.

Cell and atoms, written as CIF:
```
data_MnTc3B
_space_group_name_H-M_alt 'P 1'
_space_group_IT_number 1
_cell_length_a 4.0389
_cell_length_b 4.0389
_cell_length_c 4.0389
_cell_angle_alpha 90.00
_cell_angle_beta 90.00
_cell_angle_gamma 90.00
loop_
_space_group_symop_operation_xyz
'x,y,z'
loop_
_atom_site_label
_atom_site_fract_x
_atom_site_fract_y
_atom_site_fract_z
Mn1 0.0000 0.0000 0.0000
Tc1 0.0000 0.5000 0.5000
Tc2 0.5000 0.0000 0.5000
Tc3 0.5000 0.5000 0.0000
B1 0.5000 0.5000 0.5000
```

Calculated values
spin magnetization	0.0	Bohr magnetons per cell
space-group type	No. 221

=====

9.
Computed, not measured: a relaxed structure of Mn3TcB at the GGA-PBE level of DFT.

Cell and atoms, written as CIF:
```
data_Mn3TcB
_space_group_name_H-M_alt 'P 1'
_space_group_IT_number 1
_cell_length_a 3.8036
_cell_length_b 3.8036
_cell_length_c 3.8036
_cell_angle_alpha 90.00
_cell_angle_beta 90.00
_cell_angle_gamma 90.00
loop_
_space_group_symop_operation_xyz
'x,y,z'
loop_
_atom_site_label
_atom_site_fract_x
_atom_site_fract_y
_atom_site_fract_z
Mn1 0.0000 0.0000 0.5000
Mn2 0.0000 0.5000 0.0000
Mn3 0.5000 0.0000 0.0000
Tc1 0.5000 0.5000 0.5000
B1 0.0000 0.0000 0.0000
```

Calculated values
spin magnetization	0.5	Bohr magnetons per cell
space-group type	No. 221

=====

10.
Computed, not measured: a relaxed structure of MnTc3B at the GGA-PBE level of DFT.

Cell and atoms, written as CIF:
```
data_MnTc3B
_space_group_name_H-M_alt 'P 1'
_space_group_IT_number 1
_cell_length_a 4.3642
_cell_length_b 4.3642
_cell_length_c 4.3642
_cell_angle_alpha 90.00
_cell_angle_beta 90.00
_cell_angle_gamma 90.00
loop_
_space_group_symop_operation_xyz
'x,y,z'
loop_
_atom_site_label
_atom_site_fract_x
_atom_site_fract_y
_atom_site_fract_z
Mn1 0.0000 0.0000 0.0000
Tc1 0.0000 0.0000 0.5000
Tc2 0.0000 0.5000 0.0000
Tc3 0.5000 0.0000 0.0000
B1 0.5000 0.5000 0.5000
```

Calculated values
spin magnetization	2.1	Bohr magnetons per cell
space-group type	No. 221

=====

11.
Computed, not measured: a relaxed structure of MnTc4B2 at the GGA-PBE level of DFT.

Cell and atoms, written as CIF:
```
data_MnTc4B2
_space_group_name_H-M_alt 'P 1'
_space_group_IT_number 1
_cell_length_a 6.8287
_cell_length_b 6.8287
_cell_length_c 6.8287
_cell_angle_alpha 33.77
_cell_angle_beta 33.77
_cell_angle_gamma 33.77
loop_
_space_group_symop_operation_xyz
'x,y,z'
loop_
_atom_site_label
_atom_site_fract_x
_atom_site_fract_y
_atom_site_fract_z
Mn1 0.0000 0.0000 0.0000
Tc1 0.2159 0.2159 0.2159
Tc2 0.3810 0.3810 0.3810
Tc3 0.6190 0.6190 0.6190
Tc4 0.7841 0.7841 0.7841
B1 0.1060 0.1060 0.1060
B2 0.8940 0.8940 0.8940
```

Calculated values
spin magnetization	1.7	Bohr magnetons per cell
space-group type	No. 166

=====

| no. | energy of formation (kJ/mol of atoms) |
| --- | --- |
| 1 | -16.5 |
| 2 | -14.7 |
| 3 | -44.9 |
| 4 | -24.1 |
| 5 | -3.4 |
| 6 | 193.1 |
| 7 | -32.8 |
| 8 | 30.3 |
| 9 | 12.8 |
| 10 | 191.7 |
| 11 | 26.1 |